# Mn2NbGaN

An optimized crystal structure of Mn2NbGaN (PBE, Alexandria via LeMat-Bulk).

As for the density: 7.48 g/cm³. The space group is P4/mmm. As for the uncorrected formation energy: -0.360 eV per atom.

Structure (CIF):
```
data_Mn2NbGaN
_symmetry_space_group_name_H-M 'P 1'
_symmetry_Int_Tables_number 1
_symmetry_space_group_name_Hall 'P 1'
_cell_length_a 3.823
_cell_length_b 3.823
_cell_length_c 4.351
_cell_angle_alpha 90.00
_cell_angle_beta 90.00
_cell_angle_gamma 90.00
loop_
_atom_site_label
_atom_site_type_symbol
_atom_site_fract_x
_atom_site_fract_y
_atom_site_fract_z
N1 N 0.000 0.000 0.000
Ga1 Ga 0.500 0.500 0.500
Nb1 Nb 0.000 0.000 0.500
Mn1 Mn 0.000 0.500 0.000
Mn2 Mn 0.500 0.000 0.000
```